# 1
Compound: PuMg2ReO8
Source: Alexandria
Functional: PBE-GGA
Structure: optimized geometry

Computed properties:
ΔE_f (raw)   -27.61 eV per formula unit
Energy   -8.104 eV per atom
Space-group type   Cmmm, No. 65
V   12.0 Å³ per atom
Calculated density   6.970 g cm⁻³

CIF file:
```
data_PuMg2ReO8
_chemical_formula_sum 'Pu1 Mg2 Re1 O8'
_cell_length_a 4.732
_cell_length_b 4.732
_cell_length_c 6.462
_cell_angle_alpha 90.00
_cell_angle_beta 90.00
_cell_angle_gamma 92.33
_space_group_name_H-M_alt 'P 1'
_space_group_IT_number 1
_space_group_name_Hall 'P 1'
loop_
_atom_site_label
_atom_site_type_symbol
_atom_site_fract_x
_atom_site_fract_y
_atom_site_fract_z
_atom_site_occupancy
Pu1 Pu 0.000 0.000 0.000 1
Mg1 Mg 0.500 0.500 0.265 1
Mg2 Mg 0.500 0.500 0.735 1
Re1 Re 0.000 0.000 0.500 1
O1 O 0.192 0.808 0.282 1
O2 O 0.192 0.808 0.718 1
O3 O 0.285 0.285 0.500 1
O4 O 0.296 0.296 0.000 1
O5 O 0.704 0.704 0.000 1
O6 O 0.715 0.715 0.500 1
O7 O 0.808 0.192 0.282 1
O8 O 0.808 0.192 0.718 1
```

---

# 2
Compound: K4Ac3MnS8
Source: Alexandria
Functional: PBE-GGA
Structure: optimized geometry

Computed properties:
ΔE_f (raw)   -24.50 eV per formula unit
Energy   -5.213 eV per atom
Space-group type   C2/m, No. 12
V   29.4 Å³ per atom
Calculated density   4.061 g cm⁻³

CIF file:
```
data_K4Ac3MnS8
_chemical_formula_sum 'K4 Ac3 Mn1 S8'
_cell_length_a 8.521
_cell_length_b 8.521
_cell_length_c 8.899
_cell_angle_alpha 118.36
_cell_angle_beta 118.36
_cell_angle_gamma 60.52
_space_group_name_H-M_alt 'P 1'
_space_group_IT_number 1
_space_group_name_Hall 'P 1'
loop_
_atom_site_label
_atom_site_type_symbol
_atom_site_fract_x
_atom_site_fract_y
_atom_site_fract_z
_atom_site_occupancy
K1 K 0.000 0.000 0.000 1
K2 K 0.000 0.500 0.000 1
K3 K 0.500 0.000 0.000 1
K4 K 0.500 0.500 0.000 1
Ac1 Ac 0.000 0.000 0.500 1
Ac2 Ac 0.000 0.500 0.500 1
Ac3 Ac 0.500 0.000 0.500 1
Mn1 Mn 0.500 0.500 0.500 1
S1 S 0.241 0.241 0.720 1
S2 S 0.253 0.728 0.712 1
S3 S 0.272 0.747 0.288 1
S4 S 0.302 0.302 0.317 1
S5 S 0.698 0.698 0.683 1
S6 S 0.728 0.253 0.712 1
S7 S 0.747 0.272 0.288 1
S8 S 0.759 0.759 0.280 1
```